Record 1
PmDy2Hg6 (PBE, optimized geometry); E above lowest polymorph = 0.00 eV per formula unit; DOS at the Fermi energy = 8.16 states/eV/cell; total magnetic moment = 0.000 μB/atom; energy relative to the elements = -0.403 eV per atom; mass density = 12.1 g/cm3
1.0
7.241 -5.894 0.000
7.241 5.894 0.000
-0.946 0.000 5.375
Pm Dy Hg
2 4 12
Direct
0.126 0.874 0.750 Pm
0.874 0.126 0.250 Pm
0.209 0.458 0.916 Dy
0.458 0.209 0.416 Dy
0.542 0.791 0.584 Dy
0.791 0.542 0.084 Dy
0.013 0.759 0.196 Hg
0.099 0.351 0.362 Hg
0.241 0.987 0.304 Hg
0.323 0.568 0.470 Hg
0.351 0.099 0.862 Hg
0.432 0.677 0.030 Hg
0.568 0.323 0.970 Hg
0.649 0.901 0.138 Hg
0.677 0.432 0.530 Hg
0.759 0.013 0.696 Hg
0.901 0.649 0.638 Hg
0.987 0.241 0.804 Hg

***

Record 2
CsTaS2 (PBE, optimized geometry); DOS at the Fermi energy = 11.76 states/eV/cell; total magnetic moment = 0.000 μB/atom; uncorrected formation energy = -0.756 eV/atom; mass density = 4.6 g/cm3
1.0
6.987 0.000 0.000
0.000 6.987 0.000
0.000 0.000 11.287
Cs Ta S
4 4 8
Direct
0.000 0.000 0.000 Cs
0.000 0.500 0.250 Cs
0.500 0.000 0.750 Cs
0.500 0.500 0.500 Cs
0.000 0.000 0.500 Ta
0.000 0.500 0.750 Ta
0.500 0.000 0.250 Ta
0.500 0.500 0.000 Ta
0.087 0.250 0.625 S
0.250 0.587 0.875 S
0.250 0.913 0.375 S
0.413 0.250 0.125 S
0.587 0.750 0.125 S
0.750 0.087 0.375 S
0.750 0.413 0.875 S
0.913 0.750 0.625 S